(1)
Crystalline NbVOsPb2 at its relaxed geometry, computed with PBE-GGA.

Calculated values
- ΔH_f (0 K) (eV per atom) = 1.592

Geometry as CIF:
```
data_NbVOsPb2
_chemical_formula_sum 'Nb1 V1 Os1 Pb2'
_symmetry_space_group_name_H-M 'P 1'
_symmetry_Int_Tables_number 1
_symmetry_space_group_name_Hall 'P 1'
_cell_length_a 5.2795
_cell_length_b 5.2795
_cell_length_c 4.5810
_cell_angle_alpha 90.00
_cell_angle_beta 90.00
_cell_angle_gamma 90.00
loop_
_atom_site_label
_atom_site_fract_x
_atom_site_fract_y
_atom_site_fract_z
Pb1 0.0000 0.5000 0.0000
Pb2 0.5000 0.0000 0.0000
V1 0.0000 0.0000 0.0000
Nb1 0.0000 0.0000 0.5000
Os1 0.5000 0.5000 0.5000
```

(2)
Crystalline YNb2OsPb at its relaxed geometry, computed with PBE-GGA.

Calculated values
- ΔH_f (0 K) (eV per atom) = 0.795

Geometry as CIF:
```
data_YNb2OsPb
_chemical_formula_sum 'Y1 Nb2 Os1 Pb1'
_symmetry_space_group_name_H-M 'P 1'
_symmetry_Int_Tables_number 1
_symmetry_space_group_name_Hall 'P 1'
_cell_length_a 4.9670
_cell_length_b 5.1773
_cell_length_c 4.9670
_cell_angle_alpha 90.00
_cell_angle_beta 90.00
_cell_angle_gamma 90.00
loop_
_atom_site_label
_atom_site_fract_x
_atom_site_fract_y
_atom_site_fract_z
Y1 0.5000 0.5000 0.5000
Nb1 0.5000 0.0000 0.0000
Nb2 0.0000 0.0000 0.5000
Pb1 0.0000 0.5000 0.0000
Os1 0.0000 0.0000 0.0000
```

(3)
Crystalline NbZnOsPb2 at its relaxed geometry, computed with PBE-GGA.

Calculated values
- ΔH_f (0 K) (eV per atom) = 0.946

Geometry as CIF:
```
data_NbZnOsPb2
_chemical_formula_sum 'Nb1 Zn1 Os1 Pb2'
_symmetry_space_group_name_H-M 'P 1'
_symmetry_Int_Tables_number 1
_symmetry_space_group_name_Hall 'P 1'
_cell_length_a 5.2707
_cell_length_b 4.9916
_cell_length_c 5.2707
_cell_angle_alpha 90.00
_cell_angle_beta 90.00
_cell_angle_gamma 90.00
loop_
_atom_site_label
_atom_site_fract_x
_atom_site_fract_y
_atom_site_fract_z
Pb1 0.5000 0.0000 0.0000
Zn1 0.5000 0.5000 0.5000
Nb1 0.0000 0.5000 0.0000
Os1 0.0000 0.0000 0.0000
Pb2 0.0000 0.0000 0.5000
```

(4)
Crystalline NbOs2Pd at its relaxed geometry, computed with PBE-GGA.

Calculated values
- distance to the lowest polymorph of the same formula (eV per formula unit) = 0.00
- ΔH_f (0 K) (eV per atom) = -0.119

Geometry as CIF:
```
data_NbOs2Pd
_chemical_formula_sum 'Nb1 Os2 Pd1'
_symmetry_space_group_name_H-M 'P 1'
_symmetry_Int_Tables_number 1
_symmetry_space_group_name_Hall 'P 1'
_cell_length_a 3.9010
_cell_length_b 3.9522
_cell_length_c 3.9522
_cell_angle_alpha 90.00
_cell_angle_beta 90.00
_cell_angle_gamma 90.00
loop_
_atom_site_label
_atom_site_fract_x
_atom_site_fract_y
_atom_site_fract_z
Os1 0.0000 0.5000 0.0000
Nb1 0.5000 0.5000 0.5000
Pd1 0.5000 0.0000 0.0000
Os2 0.0000 0.0000 0.5000
```

Calculated volume readings, ordered: 25.538; 25.546; 27.734; 15.233 Å³ per atom